Material: CsSbMo2O8
Method: DFT, GGA+U
State: relaxed

```
CsSbMo2O8
1.0
4.933 -3.073 0.000
4.933 3.073 0.000
-0.438 0.000 8.850
Cs Sb Mo O
1 1 2 8
Direct
0.000 0.000 0.000
0.000 0.000 0.500
0.365 0.365 0.705
0.635 0.635 0.295
0.221 0.221 0.571
0.223 0.711 0.680
0.289 0.777 0.320
0.310 0.310 0.890
0.690 0.690 0.110
0.711 0.223 0.680
0.777 0.289 0.320
0.779 0.779 0.429
```

Calculated values
- VASP energy: -6.5362 eV per atom
- Total magnetization: 0.000 μB per formula unit